# 1
DFT (PBE) results for a relaxed structure of Er2Hf2Te7.

Results
Raw formation energy (eV/atom): -0.8661
SG: C2/m, No. 12
Size of the total moment (Bohr magnetons per cell): 0.0
Total energy (hartree per atom): -0.2023

Lattice parameters (Å, degrees): 7.527 7.953 7.953 112.33 93.66 93.66
Element x y z (fractional)
Te: 0.727 0.047 0.424
Te: 0.273 0.953 0.576
Er: 0.500 0.313 0.687
Te: 0.000 0.000 0.000
Te: 0.273 0.576 0.953
Hf: 0.113 0.721 0.721
Te: 0.727 0.424 0.047
Te: 0.752 0.583 0.583
Te: 0.248 0.417 0.417
Er: 0.500 0.687 0.313
Hf: 0.887 0.279 0.279

***

# 2
DFT (PBE) results for a relaxed structure of ErHfTe3.

Results
Raw formation energy (eV/atom): -0.9275
SG: Pnma, No. 62
Size of the total moment (Bohr magnetons per cell): 0.0
Total energy (hartree per atom): -0.2100

Lattice parameters (Å, degrees): 4.094 9.574 14.913 90.00 90.00 90.00
Element x y z (fractional)
Te: 0.250 0.654 0.976
Te: 0.750 0.346 0.024
Hf: 0.250 0.147 0.965
Te: 0.750 0.202 0.293
Te: 0.250 0.008 0.130
Te: 0.250 0.298 0.793
Hf: 0.750 0.353 0.465
Te: 0.250 0.798 0.707
Er: 0.250 0.476 0.159
Te: 0.750 0.992 0.870
Er: 0.750 0.524 0.841
Te: 0.750 0.702 0.207
Er: 0.750 0.024 0.659
Hf: 0.750 0.853 0.035
Te: 0.250 0.508 0.370
Er: 0.250 0.976 0.341
Hf: 0.250 0.647 0.535
Te: 0.750 0.846 0.476
Te: 0.250 0.154 0.524
Te: 0.750 0.492 0.630

***

# 3
DFT (PBE) results for a relaxed structure of Er3HfTe6.

Results
Raw formation energy (eV/atom): -1.0919
SG: R-3, No. 148
Size of the total moment (Bohr magnetons per cell): 1.6
Total energy (hartree per atom): -0.1963

Lattice parameters (Å, degrees): 8.808 8.808 8.808 89.89 89.89 89.89
Element x y z (fractional)
Hf: 0.000 0.000 0.000
Te: 0.580 0.814 0.457
Er: 0.085 0.236 0.580
Te: 0.307 0.921 0.098
Er: 0.580 0.085 0.236
Te: 0.098 0.307 0.921
Er: 0.236 0.580 0.085
Er: 0.420 0.915 0.764
Hf: 0.500 0.500 0.500
Te: 0.902 0.693 0.079
Te: 0.921 0.098 0.307
Te: 0.543 0.420 0.186
Te: 0.079 0.902 0.693
Te: 0.814 0.457 0.580
Te: 0.457 0.580 0.814
Te: 0.420 0.186 0.543
Te: 0.693 0.079 0.902
Er: 0.915 0.764 0.420
Er: 0.764 0.420 0.915
Te: 0.186 0.543 0.420

***

# 4
DFT (PBE) results for a relaxed structure of Er2HfTe6.

Results
Raw formation energy (eV/atom): -0.8424
SG: P4_2/mnm, No. 136
Size of the total moment (Bohr magnetons per cell): 0.0
Total energy (hartree per atom): -0.1858

Lattice parameters (Å, degrees): 7.089 7.089 12.901 90.00 90.00 90.00
Element x y z (fractional)
Te: 0.300 0.300 0.343
Te: 0.300 0.300 0.657
Hf: 0.000 0.000 0.000
Hf: 0.500 0.500 0.500
Er: 0.000 0.000 0.669
Te: 0.800 0.200 0.843
Te: 0.800 0.200 0.157
Er: 0.500 0.500 0.169
Te: 0.712 0.712 0.000
Te: 0.700 0.700 0.657
Te: 0.200 0.800 0.843
Er: 0.500 0.500 0.831
Te: 0.288 0.288 0.000
Te: 0.788 0.212 0.500
Te: 0.200 0.800 0.157
Te: 0.212 0.788 0.500
Er: 0.000 0.000 0.331
Te: 0.700 0.700 0.343

***

# 5
DFT (PBE) results for a relaxed structure of ErHfTe4.

Results
Raw formation energy (eV/atom): -0.9201
SG: P2/m, No. 10
Size of the total moment (Bohr magnetons per cell): 0.0
Total energy (hartree per atom): -0.1997

Lattice parameters (Å, degrees): 4.065 6.841 7.178 90.90 90.00 90.00
Element x y z (fractional)
Te: 0.000 0.264 0.319
Te: 0.500 0.257 0.849
Er: 0.500 0.000 0.500
Hf: 0.000 0.000 0.000
Te: 0.500 0.743 0.151
Te: 0.000 0.736 0.681

***

# 6
DFT (PBE) results for a relaxed structure of ErHf2Th.

Results
SG: P4/mmm, No. 123
Size of the total moment (Bohr magnetons per cell): 0.0
Energy above the lowest structure with this stoichiometry (eV per atom): 0.000
Total energy (hartree per atom): -0.2876
ΔE_f (meV per atom): 146

Lattice parameters (Å, degrees): 4.676 4.745 4.745 90.00 90.00 90.00
Element x y z (fractional)
Th: 0.500 0.500 0.500
Hf: 0.000 0.500 0.000
Hf: 0.000 0.000 0.500
Er: 0.500 0.000 0.000

***

# 7
DFT (PBE) results for a relaxed structure of ErHfTh2.

Results
SG: P4/mmm, No. 123
Size of the total moment (Bohr magnetons per cell): 0.0
Energy above the lowest structure with this stoichiometry (eV per atom): 0.020
Total energy (hartree per atom): -0.2651
ΔE_f (meV per atom): 126

Lattice parameters (Å, degrees): 4.807 4.927 4.927 90.00 90.00 90.00
Element x y z (fractional)
Th: 0.000 0.000 0.500
Th: 0.000 0.500 0.000
Er: 0.500 0.500 0.500
Hf: 0.500 0.000 0.000

***

# 8
DFT (PBE) results for a relaxed structure of ErHf2Th.

Results
SG: R-3m, No. 166
Size of the total moment (Bohr magnetons per cell): 0.0
Energy above the lowest structure with this stoichiometry (eV per atom): 0.059
Total energy (hartree per atom): -0.2854
ΔE_f (meV per atom): 205

Lattice parameters (Å, degrees): 3.370 3.370 10.965 81.16 81.16 60.00
Element x y z (fractional)
Er: 0.500 0.500 0.500
Hf: 0.251 0.251 0.248
Th: 0.000 0.000 0.000
Hf: 0.749 0.749 0.752

***

What is the total energy in the first record?
-0.2023 hartree per atom